# GGA-PBEsol LiTcOs2, optimized geometry
data_LiTcOs2
_cell_length_a 2.646
_cell_length_b 3.982
_cell_length_c 5.153
_cell_angle_alpha 90.00
_cell_angle_beta 104.13
_cell_angle_gamma 90.00
_space_group_name_H-M_alt 'P 1 2/m 1'
_space_group_IT_number 10
_space_group_name_Hall '-P 2y'
loop_
_atom_site_label
_atom_site_type_symbol
_atom_site_fract_x
_atom_site_fract_y
_atom_site_fract_z
Li1 Li 0.000 0.000 0.000
Tc1 Tc 0.000 0.000 0.500
Os1 Os 0.410 0.500 0.234
# - DOS at the Fermi energy (states/eV/atom) = 0.828
# - mass density (g cm⁻³) = 15.309
# - M_tot (μB/f.u.) = 0.00
# - relative energy among the computed polymorphs (eV/atom) = 0.0000

---

# GGA-PBEsol LiTcOs2, optimized geometry
data_LiTcOs2
_cell_length_a 2.932
_cell_length_b 4.240
_cell_length_c 8.391
_cell_angle_alpha 90.00
_cell_angle_beta 90.00
_cell_angle_gamma 90.00
_space_group_name_H-M_alt 'I m m 2'
_space_group_IT_number 44
_space_group_name_Hall 'I 2 -2'
loop_
_atom_site_label
_atom_site_type_symbol
_atom_site_fract_x
_atom_site_fract_y
_atom_site_fract_z
Li1 Li 0.000 0.000 0.000
Tc1 Tc 0.000 0.500 0.256
Os1 Os 0.000 0.000 0.501
Os2 Os 0.000 0.500 0.742
# - DOS at the Fermi energy (states/eV/atom) = 0.720
# - mass density (g cm⁻³) = 15.453
# - M_tot (μB/f.u.) = 0.00
# - relative energy among the computed polymorphs (eV/atom) = 0.0031

---

# GGA-PBEsol LiTcOs, optimized geometry
data_LiTcOs
_cell_length_a 4.2117
_cell_length_b 4.2117
_cell_length_c 2.5760
_cell_angle_alpha 90.00
_cell_angle_beta 90.00
_cell_angle_gamma 120.00
_space_group_name_H-M_alt 'P 3 m 1'
_space_group_IT_number 156
_space_group_name_Hall 'P 3 -2"'
loop_
_atom_site_label
_atom_site_type_symbol
_atom_site_fract_x
_atom_site_fract_y
_atom_site_fract_z
Li1 Li 0.0000 0.0000 0.0000
Tc1 Tc 0.6667 0.3333 0.6421
Os1 Os 0.3333 0.6667 0.3601
# - DOS at the Fermi energy (states/eV/atom) = 0.709
# - mass density (g cm⁻³) = 12.386
# - M_tot (μB/f.u.) = 0.00

---

What are the DFT formation energy values for these records? In order: 0.28 0.28 0.21 eV per atom.